Tb2CePuAs4 | PBE | relaxed

Cell: 4.1618 7.2021 7.1994 Å, 70.45 90.00 90.00°
Sites, in units of the cell vectors:
Tb  0.5000  0.0000  0.5000
As  0.5000  0.7493  0.2520
Pu  0.0000  0.5000  0.5000
As  0.0000  0.7512  0.7487
Ce  0.5000  0.5000  0.0000
As  0.5000  0.2507  0.7480
As  0.0000  0.2488  0.2513
Tb  0.0000  0.0000  0.0000

Properties
For the calculated formation energy, the calculation gives -1384 meV per atom. The symmetry is No. 10. As for the density of states at the Fermi level: 1.98 states/eV per atom.

LaSeI | PBE | relaxed

Cell: 7.3988 4.5741 7.9188 Å, 90.00 110.60 90.00°
Sites, in units of the cell vectors:
Se  0.3054  0.0000  0.6554
I  0.7796  0.5000  0.6445
La  0.4832  0.0000  0.3805
La  0.4832  0.5000  0.8805
I  0.7796  0.0000  0.1445
Se  0.3054  0.5000  0.1554

Properties
The symmetry is No. 8. Its formation energy (no corrections) is -1.746 eV/atom. As for the density of states at the Fermi level: 0.00 states/eV per atom.

Rb4Tm3USe8 | PBE | relaxed

Cell: 8.4364 9.3660 8.4388 Å, 116.78 119.99 90.00°
Sites, in units of the cell vectors:
Se  0.2690  0.3071  0.5379
Tm  0.0000  0.5000  0.5000
Tm  0.5000  0.5000  0.5000
Rb  0.5000  0.0000  0.0000
Se  0.2346  0.6949  0.9605
Se  0.7654  0.3051  0.0395
Rb  0.0000  0.0000  0.0000
Se  0.7310  0.6929  0.4621
U  0.0000  0.5000  0.0000
Tm  0.5000  0.5000  0.0000
Se  0.7655  0.3051  0.5309
Se  0.7260  0.6949  0.9605
Rb  0.0000  0.0000  0.5000
Se  0.2740  0.3051  0.0395
Rb  0.5000  0.0000  0.5000
Se  0.2345  0.6949  0.4691

Properties
The symmetry is No. 166. Its formation energy (no corrections) is -1.578 eV/atom. As for the density of states at the Fermi level: 0.59 states/eV per atom.

Li2AlSnO4 | PBE | relaxed

Cell: 4.6460 4.6459 5.6297 Å, 114.37 114.38 90.00°
Sites, in units of the cell vectors:
O  0.3154  0.8317  0.1973
Li  0.4859  0.9858  0.9717
O  0.6401  0.5900  0.7463
Li  0.2359  0.2359  0.4718
Sn  0.7359  0.7358  0.4717
O  0.8819  0.3656  0.1972
Al  0.9859  0.4859  0.9718
O  0.1061  0.1564  0.7463

Properties
The symmetry is No. 82. Its formation energy (no corrections) is -2.043 eV/atom. As for the density of states at the Fermi level: 0.37 states/eV per atom.

TbCeTm | PBE | relaxed

Cell: 3.4980 3.4980 8.5875 Å, 90.00 90.00 120.00°
Sites, in units of the cell vectors:
Ce  0.6667  0.3333  0.3349
Tm  0.3333  0.6667  0.6631
Tb  0.0000  0.0000  0.0020

Properties
For the calculated formation energy, the calculation gives 63 meV per atom. The symmetry is No. 156. As for the density of states at the Fermi level: 2.11 states/eV per atom. As for the polymorph energy (0 for the lowest one): 0.00 eV per formula unit.

LaIn3Sb | PBE | relaxed

Cell: 5.6036 5.6036 5.6036 Å, 90.00 90.00 90.00°
Sites, in units of the cell vectors:
In  0.0000  0.0000  0.5000
Sb  0.0000  0.0000  0.0000
La  0.5000  0.5000  0.5000
In  0.5000  0.0000  0.0000
In  0.0000  0.5000  0.0000

Properties
The symmetry is No. 221. Its formation energy (no corrections) is 0.291 eV/atom. As for the density of states at the Fermi level: 0.87 states/eV per atom. As for the polymorph energy (0 for the lowest one): 0.00 eV per formula unit.

SrScCrS2 | PBE | relaxed

Cell: 5.0230 5.0600 5.0230 Å, 90.00 90.00 90.00°
Sites, in units of the cell vectors:
S  0.0000  0.0000  0.5000
Cr  0.0000  0.5000  0.0000
S  0.5000  0.0000  0.0000
Sc  0.0000  0.0000  0.0000
Sr  0.5000  0.5000  0.5000

Properties
The symmetry is No. 123. Its formation energy (no corrections) is -0.578 eV/atom. As for the density of states at the Fermi level: 0.23 states/eV per atom.

Cu2SnTe2 | PBE | relaxed

Cell: 7.2948 7.2948 6.6421 Å, 116.31 116.31 101.13°
Sites, in units of the cell vectors:
Sn  0.1239  0.8761  0.2500
Cu  0.2441  0.4894  0.4861
Sn  0.8761  0.1239  0.7500
Cu  0.5106  0.7559  0.0139
Cu  0.7559  0.5106  0.5139
Te  0.1619  0.8381  0.7500
Te  0.4089  0.5911  0.2500
Te  0.5911  0.4089  0.7500
Te  0.8381  0.1619  0.2500
Cu  0.4894  0.2441  0.9861

Properties
The symmetry is No. 15. Its formation energy (no corrections) is -0.014 eV/atom. As for the density of states at the Fermi level: 0.12 states/eV per atom.

Ca2SbN | PBE | relaxed

Cell: 7.2379 7.2379 6.3753 Å, 55.41 55.41 90.00°
Sites, in units of the cell vectors:
Sb  0.7500  0.2500  0.5000
Ca  0.5208  0.1250  0.2500
Ca  0.3750  0.4792  0.7500
Ca  0.2292  0.6250  0.2500
N  0.5000  0.5000  0.0000
Ca  0.8750  0.7708  0.7500
N  0.2500  0.7500  0.5000
Sb  0.0000  0.0000  0.0000

Properties
The symmetry is No. 122. Its formation energy (no corrections) is -0.464 eV/atom. As for the density of states at the Fermi level: 0.42 states/eV per atom. As for the polymorph energy (0 for the lowest one): 0.84 eV per formula unit.

TaZnNiPt | PBE | relaxed

Cell: 4.3739 4.3739 4.3739 Å, 60.00 60.00 60.00°
Sites, in units of the cell vectors:
Zn  0.5000  0.5000  0.5000
Ta  0.0000  0.0000  0.0000
Pt  0.2500  0.2500  0.2500
Ni  0.7500  0.7500  0.7500

Properties
For the calculated formation energy, the calculation gives -383 meV per atom. The symmetry is No. 216. As for the density of states at the Fermi level: 0.87 states/eV per atom.

BeTcIr | PBE | relaxed

Cell: 4.7475 3.6808 9.2161 Å, 90.00 90.00 90.00°
Sites, in units of the cell vectors:
Be  0.0737  0.7500  0.2588
Ir  0.1650  0.7500  0.8295
Tc  0.8423  0.2500  0.4603
Be  0.9263  0.2500  0.7412
Ir  0.6650  0.7500  0.6705
Tc  0.3423  0.2500  0.0397
Ir  0.8350  0.2500  0.1705
Be  0.5737  0.7500  0.2412
Be  0.4263  0.2500  0.7588
Ir  0.3350  0.2500  0.3295
Tc  0.6577  0.7500  0.9603
Tc  0.1577  0.7500  0.5397

Properties
For the calculated formation energy, the calculation gives -114 meV per atom. The symmetry is No. 62. As for the density of states at the Fermi level: 0.67 states/eV per atom. As for the polymorph energy (0 for the lowest one): 0.76 eV per formula unit.

Cr2CdPd9 | PBE | relaxed

Cell: 3.9381 3.9381 11.9082 Å, 90.00 90.00 90.00°
Sites, in units of the cell vectors:
Pd  0.0000  0.5000  0.5000
Pd  0.0000  0.5000  0.8230
Pd  0.5000  0.5000  0.6613
Pd  0.5000  0.0000  0.5000
Cd  0.0000  0.0000  0.0000
Cr  0.0000  0.0000  0.3366
Pd  0.5000  0.5000  0.0000
Pd  0.5000  0.0000  0.8230
Pd  0.0000  0.5000  0.1770
Pd  0.5000  0.5000  0.3387
Pd  0.5000  0.0000  0.1770
Cr  0.0000  0.0000  0.6634

Properties
For the calculated formation energy, the calculation gives -134 meV per atom. The symmetry is No. 123. As for the density of states at the Fermi level: 1.55 states/eV per atom.

PaPd2Pt6 | PBE | relaxed

Cell: 4.1090 6.2957 7.4948 Å, 124.68 74.06 89.98°
Sites, in units of the cell vectors:
Pt  0.7761  0.1134  0.4480
Pa  0.0000  0.0000  0.0000
Pd  0.4454  0.7739  0.1092
Pt  0.1119  0.4466  0.7769
Pt  0.8881  0.5534  0.2231
Pt  0.6656  0.6707  0.6690
Pt  0.3344  0.3293  0.3310
Pt  0.2239  0.8866  0.5520
Pd  0.5546  0.2261  0.8908

Properties
For the calculated formation energy, the calculation gives -523 meV per atom. The symmetry is No. 2. As for the density of states at the Fermi level: 0.78 states/eV per atom.

BaReSe3 | PBE | relaxed

Cell: 6.1023 6.1023 6.1023 Å, 90.00 90.00 90.00°
Sites, in units of the cell vectors:
Se  0.0000  0.5000  0.0000
Se  0.5000  0.0000  0.0000
Se  0.0000  0.0000  0.5000
Re  0.5000  0.5000  0.5000
Ba  0.0000  0.0000  0.0000

Properties
The symmetry is No. 221. Its formation energy (no corrections) is 1.408 eV/atom. As for the density of states at the Fermi level: 1.24 states/eV per atom. As for the polymorph energy (0 for the lowest one): 9.67 eV per formula unit.

PmPr2Sm3Bi6 | PBE | relaxed

Cell: 4.5920 9.1765 10.2591 Å, 102.87 102.93 90.00°
Sites, in units of the cell vectors:
Sm  0.1671  0.8333  0.3341
Pr  0.1663  0.3327  0.3327
Sm  0.8329  0.1667  0.6659
Bi  0.3344  0.4140  0.6689
Pm  0.5000  0.0000  0.0000
Bi  0.6668  0.0795  0.3335
Bi  0.3332  0.9205  0.6665
Bi  0.9986  0.2501  0.9971
Pr  0.8337  0.6673  0.6673
Sm  0.5000  0.5000  0.0000
Bi  0.0014  0.7499  0.0029
Bi  0.6656  0.5860  0.3311

Properties
For the calculated formation energy, the calculation gives -939 meV per atom. The symmetry is No. 12. As for the density of states at the Fermi level: 0.17 states/eV per atom.

Sr5C7 | PBE | relaxed

Cell: 6.8533 6.8533 6.8533 Å, 108.03 108.03 112.39°
Sites, in units of the cell vectors:
Sr  0.8106  0.8106  0.0000
C  0.4636  0.4636  0.0000
Sr  0.2975  0.2975  0.5400
C  0.8024  0.3024  0.5000
Sr  0.7575  0.7575  0.4600
C  0.3024  0.8024  0.5000
C  0.8028  0.1365  0.3338
Sr  0.2975  0.7575  0.0000
C  0.4690  0.8028  0.6662
C  0.8028  0.4690  0.6662
C  0.1365  0.8028  0.3338
Sr  0.7575  0.2975  0.0000

Properties
For the calculated formation energy, the calculation gives 335 meV per atom. The symmetry is No. 107. As for the density of states at the Fermi level: 0.51 states/eV per atom.

BeCu2AsIr | PBE | relaxed

Cell: 4.7892 4.5123 4.7892 Å, 90.00 90.00 90.00°
Sites, in units of the cell vectors:
Be  0.5000  0.5000  0.5000
Ir  0.0000  0.0000  0.0000
Cu  0.0000  0.0000  0.5000
Cu  0.5000  0.0000  0.0000
As  0.0000  0.5000  0.0000

Properties
For the calculated formation energy, the calculation gives 1009 meV per atom. The symmetry is No. 123. As for the density of states at the Fermi level: 0.59 states/eV per atom.

CrRh2Se | PBE | relaxed

Cell: 4.8750 4.8750 4.4304 Å, 71.53 71.53 36.82°
Sites, in units of the cell vectors:
Rh  0.9879  0.9879  0.0376
Rh  0.7694  0.7694  0.7028
Se  0.5030  0.5030  0.5472
Cr  0.2396  0.2396  0.2125

Properties
The symmetry is No. 8. Its formation energy (no corrections) is 0.067 eV/atom. As for the density of states at the Fermi level: 1.16 states/eV per atom.